# 1
First-principles (PBE-GGA) data for a relaxed structure of Cs4TbPr3O8, as listed in Alexandria via LeMat-Bulk.

Cell lengths 8.1603, 8.1603, 8.1603 Å; angles 53.92, 53.92, 53.92 degrees
Last column: nearest neighbours and their distance in Å.
Atoms (fractional coordinates):
Cs 0.0000 0.0000 0.0000  6 O 3.18
Cs 0.0000 0.5000 0.5000  6 O 3.12-3.13
Cs 0.5000 0.0000 0.5000  6 O 3.12-3.13
Cs 0.5000 0.5000 0.0000  6 O 3.12-3.13
Tb 0.5000 0.5000 0.5000  6 O 2.38
Pr 0.0000 0.0000 0.5000  6 O 2.44-2.46
Pr 0.0000 0.5000 0.0000  6 O 2.44-2.46
Pr 0.5000 0.0000 0.0000  6 O 2.44-2.46
O 0.2235 0.2235 0.2235  3 Pr 2.44
O 0.2325 0.7181 0.7181  1 Tb 2.38, 2 Pr 2.46
O 0.2819 0.2819 0.7675  1 Tb 2.38, 2 Pr 2.46
O 0.2819 0.7675 0.2819  1 Tb 2.38, 2 Pr 2.46
O 0.7181 0.2325 0.7181  1 Tb 2.38, 2 Pr 2.46
O 0.7181 0.7181 0.2325  1 Tb 2.38, 2 Pr 2.46
O 0.7675 0.2819 0.2819  1 Tb 2.38, 2 Pr 2.46
O 0.7765 0.7765 0.7765  3 Pr 2.44

Properties
- Fermi-level density of states (states/eV per cell) = 0.0
- magnetic moment (Bohr magnetons per cell) = 0.00
- SG = R-3m, No. 166
- energy relative to the elements, uncorrected (eV per atom) = -2.508
- total DFT energy (no corrections) (eV per atom) = -6.39



# 2
First-principles (PBE-GGA) data for a relaxed structure of Cs3TbPr2O6, as listed in Alexandria via LeMat-Bulk.

Cell lengths 6.3836, 6.3836, 7.2642 Å; angles 98.41, 98.41, 120.01 degrees
Last column: nearest neighbours and their distance in Å.
Atoms (fractional coordinates):
Cs 0.0000 0.0000 0.0000  6 O 3.11-3.18
Cs 0.3342 0.6658 0.0000  6 O 3.10-3.19
Cs 0.6658 0.3342 0.0000  6 O 3.10-3.19
Tb 0.5000 0.5000 0.5000  6 O 2.37
Pr 0.1667 0.8333 0.5000  6 O 2.46
Pr 0.8333 0.1667 0.5000  6 O 2.46
O 0.1213 0.4437 0.3314  1 Tb 2.37, 2 Pr 2.46
O 0.2337 0.2337 0.6692  1 Tb 2.37, 2 Pr 2.46
O 0.4437 0.1213 0.3314  1 Tb 2.37, 2 Pr 2.46
O 0.5563 0.8787 0.6686  1 Tb 2.37, 2 Pr 2.46
O 0.7663 0.7663 0.3308  1 Tb 2.37, 2 Pr 2.46
O 0.8787 0.5563 0.6686  1 Tb 2.37, 2 Pr 2.46

Properties
- Fermi-level density of states (states/eV per cell) = 0.0
- magnetic moment (Bohr magnetons per cell) = 0.00
- SG = C2/m, No. 12
- energy relative to the elements, uncorrected (eV per atom) = -2.521
- total DFT energy (no corrections) (eV per atom) = -6.40



# 3
First-principles (PBE-GGA) data for a relaxed structure of Cs2TbPrO4, as listed in Alexandria via LeMat-Bulk.

Cell lengths 7.6277, 7.6277, 7.6277 Å; angles 120.82, 119.12, 90.05 degrees
Last column: nearest neighbours and their distance in Å.
Atoms (fractional coordinates):
Cs 0.0000 0.0000 0.0000  6 O 2.96-2.97
Cs 0.5000 0.0000 0.0000  6 O 3.03-3.04
Cs 0.5000 0.0000 0.5000  6 O 2.96-2.97
Cs 0.5000 0.5000 0.5000  6 O 3.03-3.04
Tb 0.0000 0.0000 0.5000  6 O 2.40-2.42
Tb 0.0000 0.5000 0.0000  6 O 2.40-2.42
Pr 0.0000 0.5000 0.5000  6 O 2.49-2.50
Pr 0.5000 0.5000 0.0000  6 O 2.49-2.50
O 0.1725 0.7285 0.4439  2 Tb 2.42, 1 Pr 2.50
O 0.2154 0.2715 0.9439  2 Tb 2.42, 1 Pr 2.50
O 0.2198 0.2661 0.5463  1 Tb 2.40, 2 Pr 2.49
O 0.2198 0.6735 0.9537  1 Tb 2.40, 2 Pr 2.49
O 0.7802 0.3265 0.0463  1 Tb 2.40, 2 Pr 2.49
O 0.7802 0.7339 0.4537  1 Tb 2.40, 2 Pr 2.49
O 0.7846 0.7285 0.0561  2 Tb 2.42, 1 Pr 2.50
O 0.8275 0.2715 0.5561  2 Tb 2.42, 1 Pr 2.50

Properties
- Fermi-level density of states (states/eV per cell) = 0.0
- magnetic moment (Bohr magnetons per cell) = 0.00
- SG = Imma, No. 74
- energy relative to the elements, uncorrected (eV per atom) = -2.418
- total DFT energy (no corrections) (eV per atom) = -6.29



# 4
First-principles (PBE-GGA) data for a relaxed structure of Cs3Pr3TcO8, as listed in Alexandria via LeMat-Bulk.

Cell lengths 8.1124, 8.1124, 8.1124 Å; angles 52.52, 52.52, 52.52 degrees
Last column: nearest neighbours and their distance in Å.
Atoms (fractional coordinates):
Cs 0.0000 0.5000 0.5000  6 O 3.10
Cs 0.5000 0.0000 0.5000  6 O 3.10
Cs 0.5000 0.5000 0.0000  6 O 3.10
Pr 0.0000 0.0000 0.5000  6 O 2.38-2.45
Pr 0.0000 0.5000 0.0000  6 O 2.38-2.45
Pr 0.5000 0.0000 0.0000  6 O 2.38-2.45
Tc 0.5000 0.5000 0.5000  6 O 2.13
O 0.2230 0.2230 0.2230  3 Pr 2.38
O 0.2569 0.6996 0.6996  1 Tc 2.13
O 0.3004 0.3004 0.7431  1 Tc 2.13
O 0.3004 0.7431 0.3004  1 Tc 2.13
O 0.6996 0.2569 0.6996  1 Tc 2.13
O 0.6996 0.6996 0.2569  1 Tc 2.13
O 0.7431 0.3004 0.3004  1 Tc 2.13
O 0.7770 0.7770 0.7770  3 Pr 2.38

Properties
- magnetic moment (Bohr magnetons per cell) = 3.00
- SG = R-3m, No. 166
- energy relative to the elements, uncorrected (eV per atom) = -2.238
- total DFT energy (no corrections) (eV per atom) = -6.70



# 5
First-principles (PBE-GGA) data for a relaxed structure of CsPrTc2O8, as listed in Alexandria via LeMat-Bulk.

Cell lengths 6.1611, 6.1611, 8.5663 Å; angles 90.00, 90.00, 120.00 degrees
Last column: nearest neighbours and their distance in Å.
Atoms (fractional coordinates):
Cs 0.0000 0.0000 0.0000  12 O 3.38-3.59
Pr 0.0000 0.0000 0.5000  6 O 2.37
Tc 0.3333 0.6667 0.7430  4 O 1.75-1.80
Tc 0.6667 0.3333 0.2570  4 O 1.75-1.80
O 0.1733 0.8234 0.6713  1 Tc 1.80
O 0.1766 0.3499 0.6713  1 Tc 1.80
O 0.3333 0.6667 0.9471  1 Tc 1.75
O 0.3499 0.1733 0.3287  1 Tc 1.80
O 0.6501 0.8267 0.6713  1 Tc 1.80
O 0.6667 0.3333 0.0529  1 Tc 1.75
O 0.8234 0.6501 0.3287  1 Tc 1.80
O 0.8267 0.1766 0.3287  1 Tc 1.80

Properties
- Fermi-level density of states (states/eV per cell) = 7.4
- magnetic moment (Bohr magnetons per cell) = 2.03
- SG = P-3, No. 147
- energy relative to the elements, uncorrected (eV per atom) = -1.905
- total DFT energy (no corrections) (eV per atom) = -7.41



# 6
First-principles (PBE-GGA) data for a relaxed structure of Cs2PrTcO6, as listed in Alexandria via LeMat-Bulk.

Cell lengths 6.7301, 6.7301, 6.0253 Å; angles 90.00, 90.00, 120.00 degrees
Last column: nearest neighbours and their distance in Å.
Atoms (fractional coordinates):
Cs 0.3333 0.6667 0.1200  3 O 3.02
Cs 0.6667 0.3333 0.8800  3 O 3.02
Pr 0.0000 0.0000 0.5000  6 O 2.40
Tc 0.0000 0.0000 0.0000  6 O 1.92
O 0.1308 0.2616 0.8067  1 Tc 1.92
O 0.1308 0.8692 0.8067  1 Tc 1.92
O 0.2616 0.1308 0.1933  1 Tc 1.92
O 0.7384 0.8692 0.8067  1 Tc 1.92
O 0.8692 0.1308 0.1933  1 Tc 1.92
O 0.8692 0.7384 0.1933  1 Tc 1.92

Properties
- magnetic moment (Bohr magnetons per cell) = 0.00
- SG = P-3m1, No. 164
- energy relative to the elements, uncorrected (eV per atom) = -1.834
- total DFT energy (no corrections) (eV per atom) = -6.49



# 7
First-principles (PBE-GGA) data for a relaxed structure of CsPrTeO4, as listed in Alexandria via LeMat-Bulk.

Cell lengths 6.0488, 6.3356, 8.4829 Å; angles 90.00, 106.29, 90.00 degrees
Last column: nearest neighbours and their distance in Å.
Atoms (fractional coordinates):
Cs 0.1042 0.2500 0.1368  6 O 3.11-3.30
Cs 0.8958 0.7500 0.8632  6 O 3.11-3.30
Pr 0.1766 0.7500 0.4676  6 O 2.37-2.53
Pr 0.8234 0.2500 0.5324  6 O 2.37-2.53
Te 0.3969 0.2500 0.7333  4 O 1.94-2.05
Te 0.6031 0.7500 0.2667  4 O 1.94-2.05
O 0.1617 0.0153 0.6658  1 Te 2.03
O 0.1617 0.4847 0.6658  1 Te 2.03
O 0.2510 0.7500 0.2081  1 Te 2.05
O 0.4138 0.2500 0.5088  1 Te 1.94
O 0.5862 0.7500 0.4912  1 Te 1.94
O 0.7490 0.2500 0.7919  1 Te 2.05
O 0.8383 0.5153 0.3342  1 Te 2.03
O 0.8383 0.9847 0.3342  1 Te 2.03

Properties
- Fermi-level density of states (states/eV per cell) = 0.0
- magnetic moment (Bohr magnetons per cell) = 0.00
- SG = P2_1/m, No. 11
- energy relative to the elements, uncorrected (eV per atom) = -1.987
- total DFT energy (no corrections) (eV per atom) = -6.07



# 8
First-principles (PBE-GGA) data for a relaxed structure of CsPrTe2O8, as listed in Alexandria via LeMat-Bulk.

Cell lengths 6.1242, 6.1242, 8.9185 Å; angles 90.00, 90.00, 120.00 degrees
Last column: nearest neighbours and their distance in Å.
Atoms (fractional coordinates):
Cs 0.0000 0.0000 0.0000  12 O 3.51-3.57
Pr 0.0000 0.0000 0.5000  6 O 2.37
Te 0.3333 0.6667 0.7388  4 O 1.82-1.85
Te 0.6667 0.3333 0.2612  4 O 1.82-1.85
O 0.1281 0.3448 0.6658  1 Te 1.85
O 0.2167 0.8719 0.6658  1 Te 1.85
O 0.3333 0.6667 0.9429  1 Te 1.82
O 0.3448 0.2167 0.3342  1 Te 1.85
O 0.6552 0.7833 0.6658  1 Te 1.85
O 0.6667 0.3333 0.0571  1 Te 1.82
O 0.7833 0.1281 0.3342  1 Te 1.85
O 0.8719 0.6552 0.3342  1 Te 1.85

Properties
- Fermi-level density of states (states/eV per cell) = 0.0
- magnetic moment (Bohr magnetons per cell) = 0.09
- SG = P-3, No. 147
- energy relative to the elements, uncorrected (eV per atom) = -1.560
- total DFT energy (no corrections) (eV per atom) = -5.86